No. 1
# LaBiCl2 | Alexandria | PBE-GGA | relaxed
# - energy relative to the lowest polymorph listed for this composition (eV/atom) = 0.000
# - formation energy without anion corrections (eV per atom) = -1.279
data_LaBiCl2
_cell_length_a 4.8905
_cell_length_b 4.8905
_cell_length_c 19.9594
_cell_angle_alpha 90.00
_cell_angle_beta 90.00
_cell_angle_gamma 90.00
_symmetry_space_group_name_H-M 'I -4 2 d'
_symmetry_Int_Tables_number 122
_symmetry_space_group_name_Hall 'I -4 2bw'
loop_
_atom_site_label
_atom_site_type_symbol
_atom_site_fract_x
_atom_site_fract_y
_atom_site_fract_z
La1 La 0.0000 0.0000 0.0000
Bi1 Bi 0.0000 0.0000 0.5000
Cl1 Cl 0.2298 0.2500 0.1250



No. 2
# La4Bi3Cl | Alexandria | PBE-GGA | relaxed
# - formation energy without anion corrections (eV per atom) = -1.172
data_La4Bi3Cl
_cell_length_a 6.5403
_cell_length_b 6.5403
_cell_length_c 13.0399
_cell_angle_alpha 90.00
_cell_angle_beta 90.00
_cell_angle_gamma 90.00
_symmetry_space_group_name_H-M 'I 4/m m m'
_symmetry_Int_Tables_number 139
_symmetry_space_group_name_Hall '-I 4 2'
loop_
_atom_site_label
_atom_site_type_symbol
_atom_site_fract_x
_atom_site_fract_y
_atom_site_fract_z
La1 La 0.0000 0.0000 0.2498
La2 La 0.0000 0.5000 0.0000
Bi1 Bi 0.0000 0.0000 0.0000
Bi2 Bi 0.0000 0.5000 0.2500
Cl1 Cl 0.0000 0.0000 0.5000



No. 3
# La2BiCl | Alexandria | PBE-GGA | relaxed
# - energy relative to the lowest polymorph listed for this composition (eV/atom) = 0.124
# - formation energy without anion corrections (eV per atom) = -1.176
data_La2BiCl
_cell_length_a 4.3721
_cell_length_b 4.3721
_cell_length_c 23.6448
_cell_angle_alpha 90.00
_cell_angle_beta 90.00
_cell_angle_gamma 120.00
_symmetry_space_group_name_H-M 'R 3 m'
_symmetry_Int_Tables_number 160
_symmetry_space_group_name_Hall 'R 3 -2"'
loop_
_atom_site_label
_atom_site_type_symbol
_atom_site_fract_x
_atom_site_fract_y
_atom_site_fract_z
La1 La 0.0000 0.0000 0.0000
La2 La 0.0000 0.0000 0.1676
Bi1 Bi 0.0000 0.0000 0.5845
Cl1 Cl 0.0000 0.0000 0.4154



No. 4
# La2BiCl | Alexandria | PBE-GGA | relaxed
# - energy relative to the lowest polymorph listed for this composition (eV/atom) = 0.477
# - formation energy without anion corrections (eV per atom) = -0.822
data_La2BiCl
_cell_length_a 6.7166
_cell_length_b 6.7166
_cell_length_c 14.8441
_cell_angle_alpha 90.00
_cell_angle_beta 90.00
_cell_angle_gamma 90.00
_symmetry_space_group_name_H-M 'I -4 2 d'
_symmetry_Int_Tables_number 122
_symmetry_space_group_name_Hall 'I -4 2bw'
loop_
_atom_site_label
_atom_site_type_symbol
_atom_site_fract_x
_atom_site_fract_y
_atom_site_fract_z
La1 La 0.2164 0.2500 0.1250
Bi1 Bi 0.0000 0.0000 0.5000
Cl1 Cl 0.0000 0.0000 0.0000



No. 5
# La2BiCl | Alexandria | PBE-GGA | relaxed
# - energy relative to the lowest polymorph listed for this composition (eV/atom) = 0.000
# - formation energy without anion corrections (eV per atom) = -1.299
data_La2BiCl
_cell_length_a 4.5117
_cell_length_b 4.5117
_cell_length_c 21.0950
_cell_angle_alpha 90.00
_cell_angle_beta 90.00
_cell_angle_gamma 120.00
_symmetry_space_group_name_H-M 'R -3 m'
_symmetry_Int_Tables_number 166
_symmetry_space_group_name_Hall '-R 3 2"'
loop_
_atom_site_label
_atom_site_type_symbol
_atom_site_fract_x
_atom_site_fract_y
_atom_site_fract_z
La1 La 0.0000 0.0000 0.2402
Bi1 Bi 0.0000 0.0000 0.0000
Cl1 Cl 0.0000 0.0000 0.5000



No. 6
# La6Bi5Cl | Alexandria | PBE-GGA | relaxed
# - formation energy without anion corrections (eV per atom) = -1.151
data_La6Bi5Cl
_cell_length_a 8.0641
_cell_length_b 13.9470
_cell_length_c 8.0545
_cell_angle_alpha 90.00
_cell_angle_beta 109.51
_cell_angle_gamma 90.00
_symmetry_space_group_name_H-M 'C 1 2/m 1'
_symmetry_Int_Tables_number 12
loop_
_symmetry_equiv_pos_as_xyz
'x,y,z'
'-x,-y,-z'
'-x,y,-z'
'x,-y,z'
'x+1/2,y+1/2,z'
'-x+1/2,-y+1/2,-z'
'-x+1/2,y+1/2,-z'
'x+1/2,-y+1/2,z'
loop_
_atom_site_label
_atom_site_type_symbol
_atom_site_fract_x
_atom_site_fract_y
_atom_site_fract_z
La1 La 0.2492 0.0000 0.2531
La2 La 0.2498 0.1671 0.7502
Bi1 Bi 0.0000 0.0000 0.5000
Bi2 Bi 0.0000 0.1665 0.0000
Bi3 Bi 0.0000 0.3324 0.5000
Cl1 Cl 0.0000 0.5000 0.0000



No. 7
# Li2LaBiCl | Alexandria | PBE-GGA | relaxed
# - formation energy without anion corrections (eV per atom) = -0.940
data_Li2LaBiCl
_cell_length_a 4.7417
_cell_length_b 4.7417
_cell_length_c 5.7218
_cell_angle_alpha 90.00
_cell_angle_beta 90.00
_cell_angle_gamma 90.00
_symmetry_space_group_name_H-M 'P 4/m m m'
_symmetry_Int_Tables_number 123
_symmetry_space_group_name_Hall '-P 4 2'
loop_
_atom_site_label
_atom_site_type_symbol
_atom_site_fract_x
_atom_site_fract_y
_atom_site_fract_z
Li1 Li 0.0000 0.5000 0.0000
La1 La 0.0000 0.0000 0.5000
Bi1 Bi 0.5000 0.5000 0.5000
Cl1 Cl 0.0000 0.0000 0.0000



No. 8
# LaBiCl2O | Alexandria | PBE-GGA | relaxed
# - formation energy without anion corrections (eV per atom) = -0.671
data_LaBiCl2O
_cell_length_a 5.1000
_cell_length_b 5.1000
_cell_length_c 4.5712
_cell_angle_alpha 90.00
_cell_angle_beta 90.00
_cell_angle_gamma 90.00
_symmetry_space_group_name_H-M 'P 4/m m m'
_symmetry_Int_Tables_number 123
_symmetry_space_group_name_Hall '-P 4 2'
loop_
_atom_site_label
_atom_site_type_symbol
_atom_site_fract_x
_atom_site_fract_y
_atom_site_fract_z
La1 La 0.0000 0.0000 0.0000
Bi1 Bi 0.5000 0.5000 0.0000
Cl1 Cl 0.0000 0.5000 0.5000
O1 O 0.5000 0.5000 0.5000



No. 9
# La4BiOsCl2 | Alexandria | PBE-GGA | relaxed
# - formation energy without anion corrections (eV per atom) = -1.106
data_La4BiOsCl2
_cell_length_a 7.5713
_cell_length_b 4.3372
_cell_length_c 8.0108
_cell_angle_alpha 90.00
_cell_angle_beta 108.61
_cell_angle_gamma 90.00
_symmetry_space_group_name_H-M 'P 1 2/m 1'
_symmetry_Int_Tables_number 10
loop_
_symmetry_equiv_pos_as_xyz
'x,y,z'
'-x,-y,-z'
'-x,y,-z'
'x,-y,z'
loop_
_atom_site_label
_atom_site_type_symbol
_atom_site_fract_x
_atom_site_fract_y
_atom_site_fract_z
La1 La 0.2233 0.0000 0.2899
La2 La 0.2236 0.5000 0.7156
Bi1 Bi 0.0000 0.5000 0.0000
Os1 Os 0.0000 0.0000 0.5000
Cl1 Cl 0.5000 0.0000 0.0000
Cl2 Cl 0.5000 0.5000 0.5000



No. 10
# LaBiP2Cl | Alexandria | PBE-GGA | relaxed
# - energy relative to the lowest polymorph listed for this composition (eV/atom) = 0.000
# - formation energy without anion corrections (eV per atom) = -0.151
data_LaBiP2Cl
_cell_length_a 5.2694
_cell_length_b 5.2694
_cell_length_c 5.1796
_cell_angle_alpha 90.00
_cell_angle_beta 90.00
_cell_angle_gamma 90.00
_symmetry_space_group_name_H-M 'P 4/m m m'
_symmetry_Int_Tables_number 123
_symmetry_space_group_name_Hall '-P 4 2'
loop_
_atom_site_label
_atom_site_type_symbol
_atom_site_fract_x
_atom_site_fract_y
_atom_site_fract_z
La1 La 0.0000 0.0000 0.0000
Bi1 Bi 0.5000 0.5000 0.5000
P1 P 0.0000 0.5000 0.5000
Cl1 Cl 0.5000 0.5000 0.0000



No. 11
# LaBiPCl2 | Alexandria | PBE-GGA | relaxed
# - energy relative to the lowest polymorph listed for this composition (eV/atom) = 0.353
# - formation energy without anion corrections (eV per atom) = -0.367
data_LaBiPCl2
_cell_length_a 5.3138
_cell_length_b 5.3138
_cell_length_c 5.5707
_cell_angle_alpha 90.00
_cell_angle_beta 90.00
_cell_angle_gamma 90.00
_symmetry_space_group_name_H-M 'P 4/m m m'
_symmetry_Int_Tables_number 123
_symmetry_space_group_name_Hall '-P 4 2'
loop_
_atom_site_label
_atom_site_type_symbol
_atom_site_fract_x
_atom_site_fract_y
_atom_site_fract_z
La1 La 0.0000 0.0000 0.0000
Bi1 Bi 0.5000 0.5000 0.5000
P1 P 0.5000 0.5000 0.0000
Cl1 Cl 0.0000 0.5000 0.5000



No. 12
# La3BiPCl | Alexandria | PBE-GGA | relaxed
# - formation energy without anion corrections (eV per atom) = -1.336
data_La3BiPCl
_cell_length_a 8.7786
_cell_length_b 4.4731
_cell_length_c 9.8756
_cell_angle_alpha 90.00
_cell_angle_beta 103.99
_cell_angle_gamma 90.00
_symmetry_space_group_name_H-M 'P 1 21/m 1'
_symmetry_Int_Tables_number 11
loop_
_symmetry_equiv_pos_as_xyz
'x,y,z'
'-x,-y,-z'
'-x,y+1/2,-z'
'x,-y+1/2,z'
loop_
_atom_site_label
_atom_site_type_symbol
_atom_site_fract_x
_atom_site_fract_y
_atom_site_fract_z
La1 La 0.0661 0.2500 0.3522
La2 La 0.2219 0.2500 0.9754
La3 La 0.3874 0.7500 0.6331
Bi1 Bi 0.3096 0.7500 0.2670
P1 P 0.1635 0.2500 0.6569
Cl1 Cl 0.4021 0.7500 0.9192



No. 13
# LaBiPCl2 | Alexandria | PBE-GGA | relaxed
# - energy relative to the lowest polymorph listed for this composition (eV/atom) = 0.000
# - formation energy without anion corrections (eV per atom) = -0.721
data_LaBiPCl2
_cell_length_a 5.3677
_cell_length_b 5.3677
_cell_length_c 6.0620
_cell_angle_alpha 90.00
_cell_angle_beta 90.00
_cell_angle_gamma 90.00
_symmetry_space_group_name_H-M 'P 4/m m m'
_symmetry_Int_Tables_number 123
_symmetry_space_group_name_Hall '-P 4 2'
loop_
_atom_site_label
_atom_site_type_symbol
_atom_site_fract_x
_atom_site_fract_y
_atom_site_fract_z
La1 La 0.0000 0.0000 0.0000
Bi1 Bi 0.5000 0.5000 0.5000
P1 P 0.0000 0.0000 0.5000
Cl1 Cl 0.0000 0.5000 0.0000



No. 14
# LaBiP2Cl | Alexandria | PBE-GGA | relaxed
# - energy relative to the lowest polymorph listed for this composition (eV/atom) = 0.191
# - formation energy without anion corrections (eV per atom) = 0.039
data_LaBiP2Cl
_cell_length_a 5.6011
_cell_length_b 5.6011
_cell_length_c 5.2550
_cell_angle_alpha 90.00
_cell_angle_beta 90.00
_cell_angle_gamma 90.00
_symmetry_space_group_name_H-M 'P 4/m m m'
_symmetry_Int_Tables_number 123
_symmetry_space_group_name_Hall '-P 4 2'
loop_
_atom_site_label
_atom_site_type_symbol
_atom_site_fract_x
_atom_site_fract_y
_atom_site_fract_z
La1 La 0.0000 0.0000 0.0000
Bi1 Bi 0.5000 0.5000 0.5000
P1 P 0.0000 0.5000 0.0000
Cl1 Cl 0.0000 0.0000 0.5000



No. 15
# LaBi2PdCl | Alexandria | PBE-GGA | relaxed
# - energy relative to the lowest polymorph listed for this composition (eV/atom) = 0.507
# - formation energy without anion corrections (eV per atom) = 0.122
data_LaBi2PdCl
_cell_length_a 5.5231
_cell_length_b 5.5231
_cell_length_c 5.2476
_cell_angle_alpha 90.00
_cell_angle_beta 90.00
_cell_angle_gamma 90.00
_symmetry_space_group_name_H-M 'P 4/m m m'
_symmetry_Int_Tables_number 123
_symmetry_space_group_name_Hall '-P 4 2'
loop_
_atom_site_label
_atom_site_type_symbol
_atom_site_fract_x
_atom_site_fract_y
_atom_site_fract_z
La1 La 0.0000 0.0000 0.0000
Bi1 Bi 0.0000 0.5000 0.5000
Pd1 Pd 0.5000 0.5000 0.0000
Cl1 Cl 0.0000 0.0000 0.5000



No. 16
# LaBi2PdCl | Alexandria | PBE-GGA | relaxed
# - energy relative to the lowest polymorph listed for this composition (eV/atom) = 0.000
# - formation energy without anion corrections (eV per atom) = -0.385
data_LaBi2PdCl
_cell_length_a 5.2365
_cell_length_b 5.2365
_cell_length_c 5.9586
_cell_angle_alpha 90.00
_cell_angle_beta 90.00
_cell_angle_gamma 90.00
_symmetry_space_group_name_H-M 'P 4/m m m'
_symmetry_Int_Tables_number 123
_symmetry_space_group_name_Hall '-P 4 2'
loop_
_atom_site_label
_atom_site_type_symbol
_atom_site_fract_x
_atom_site_fract_y
_atom_site_fract_z
La1 La 0.0000 0.0000 0.0000
Bi1 Bi 0.0000 0.5000 0.5000
Pd1 Pd 0.0000 0.0000 0.5000
Cl1 Cl 0.5000 0.5000 0.0000



No. 17
# LaPmBiCl | Alexandria | PBE-GGA | relaxed
# - formation energy without anion corrections (eV per atom) = -1.110
data_LaPmBiCl
_cell_length_a 7.7032
_cell_length_b 7.7032
_cell_length_c 7.7032
_cell_angle_alpha 90.00
_cell_angle_beta 90.00
_cell_angle_gamma 90.00
_symmetry_space_group_name_H-M 'F -4 3 m'
_symmetry_Int_Tables_number 216
_symmetry_space_group_name_Hall 'F -4 2 3'
loop_
_atom_site_label
_atom_site_type_symbol
_atom_site_fract_x
_atom_site_fract_y
_atom_site_fract_z
La1 La 0.0000 0.0000 0.0000
Pm1 Pm 0.0000 0.0000 0.5000
Bi1 Bi 0.2500 0.2500 0.2500
Cl1 Cl 0.2500 0.2500 0.7500



No. 18
# La3BiPtCl | Alexandria | PBE-GGA | relaxed
# - formation energy without anion corrections (eV per atom) = -1.240
data_La3BiPtCl
_cell_length_a 7.5601
_cell_length_b 4.2979
_cell_length_c 11.7563
_cell_angle_alpha 90.00
_cell_angle_beta 101.05
_cell_angle_gamma 90.00
_symmetry_space_group_name_H-M 'P 1 21/m 1'
_symmetry_Int_Tables_number 11
loop_
_symmetry_equiv_pos_as_xyz
'x,y,z'
'-x,-y,-z'
'-x,y+1/2,-z'
'x,-y+1/2,z'
loop_
_atom_site_label
_atom_site_type_symbol
_atom_site_fract_x
_atom_site_fract_y
_atom_site_fract_z
La1 La 0.0349 0.2500 0.1410
La2 La 0.2677 0.2500 0.5061
La3 La 0.4588 0.7500 0.8503
Bi1 Bi 0.3407 0.7500 0.3114
Pt1 Pt 0.2361 0.2500 0.9439
Cl1 Cl 0.1174 0.7500 0.6334



No. 19
# Rb2LaBiCl | Alexandria | PBE-GGA | relaxed
# - formation energy without anion corrections (eV per atom) = -0.431
data_Rb2LaBiCl
_cell_length_a 7.1571
_cell_length_b 7.1571
_cell_length_c 6.1912
_cell_angle_alpha 90.00
_cell_angle_beta 90.00
_cell_angle_gamma 90.00
_symmetry_space_group_name_H-M 'P 4/m m m'
_symmetry_Int_Tables_number 123
_symmetry_space_group_name_Hall '-P 4 2'
loop_
_atom_site_label
_atom_site_type_symbol
_atom_site_fract_x
_atom_site_fract_y
_atom_site_fract_z
Rb1 Rb 0.0000 0.5000 0.0000
La1 La 0.0000 0.0000 0.5000
Bi1 Bi 0.0000 0.0000 0.0000
Cl1 Cl 0.5000 0.5000 0.5000



No. 20
# La3BiRuCl | Alexandria | PBE-GGA | relaxed
# - formation energy without anion corrections (eV per atom) = -0.882
data_La3BiRuCl
_cell_length_a 8.0710
_cell_length_b 4.6541
_cell_length_c 9.9954
_cell_angle_alpha 90.00
_cell_angle_beta 108.63
_cell_angle_gamma 90.00
_symmetry_space_group_name_H-M 'P 1 21/m 1'
_symmetry_Int_Tables_number 11
loop_
_symmetry_equiv_pos_as_xyz
'x,y,z'
'-x,-y,-z'
'-x,y+1/2,-z'
'x,-y+1/2,z'
loop_
_atom_site_label
_atom_site_type_symbol
_atom_site_fract_x
_atom_site_fract_y
_atom_site_fract_z
La1 La 0.0407 0.2500 0.3604
La2 La 0.2176 0.2500 0.9599
La3 La 0.4122 0.7500 0.6073
Bi1 Bi 0.2363 0.7500 0.2115
Ru1 Ru 0.2349 0.2500 0.6110
Cl1 Cl 0.3907 0.7500 0.8922